Record 1
Compound: In3Cu8Hg
Source: Alexandria
Functional: PBE-GGA
Structure: optimized geometry

Computed properties:
Symmetry   R3m (160)
ΔH_f (0 K)   24 kJ/mol of formula units
Calculated total energy   -3.420 eV per atom

abc: 5.0714 5.0714 8.7275
angles: 73.11 73.11 60.00
Last column: nearest neighbours and their distance in Å.
Fractional coordinates of all 12 atoms:
In 0.3764 0.3764 0.8710  12 Cu 2.94-2.98, 4 In 3.11-3.14
In 0.9975 0.9975 0.0075  12 Cu 2.93-3.00, 1 Hg 3.05, 3 In 3.14
In 0.5023 0.5023 0.4932  12 Cu 2.92-3.00, 3 Hg 3.08, 1 In 3.11
Cu 0.4376 0.4376 0.1857  6 Cu 2.51-2.54
Cu 0.4376 0.9391 0.1857  6 Cu 2.51-2.54
Cu 0.4357 0.9376 0.6892  6 Cu 2.51-2.55
Cu 0.9391 0.4376 0.1857  6 Cu 2.51-2.54
Cu 0.6875 0.6875 0.9374  6 Cu 2.51
Cu 0.9376 0.4357 0.6892  6 Cu 2.51-2.55
Cu 0.1874 0.1874 0.4379  6 Cu 2.53-2.54
Cu 0.9376 0.9376 0.6892  6 Cu 2.51-2.55
Hg 0.8738 0.8738 0.3785  12 Cu 2.95-2.99, 4 In 3.05-3.08



Record 2
Compound: Cs3AcP2O8
Source: Alexandria
Functional: PBE-GGA
Structure: optimized geometry

Computed properties:
Symmetry   P-3m1 (164)
Formation energy from raw total energies   -2546.9 meV per atom
Calculated total energy   -6.629 eV per atom

abc: 6.0388 6.0388 8.9316
angles: 90.00 90.00 120.00
Last column: nearest neighbours and their distance in Å.
Fractional coordinates of all 14 atoms:
O 0.8077 0.1923 0.6655  1 P 1.57
O 0.3333 0.6667 0.1020  1 P 1.54
O 0.6154 0.8077 0.3345  1 P 1.57
O 0.1923 0.8077 0.3345  1 P 1.57
O 0.6667 0.3333 0.8980  1 P 1.54
O 0.3846 0.1923 0.6655  1 P 1.57
O 0.8077 0.6154 0.6655  1 P 1.57
O 0.1923 0.3846 0.3345  1 P 1.57
Ac 0.0000 0.0000 0.5000  6 O 2.50
Cs 0.6667 0.3333 0.2246  7 O 2.92-3.19
Cs 0.3333 0.6667 0.7754  7 O 2.92-3.19
Cs 0.0000 0.0000 0.0000  12 O 3.60, 6 Cs 4.02
P 0.3333 0.6667 0.2743  4 O 1.54-1.57
P 0.6667 0.3333 0.7257  4 O 1.54-1.57



Record 3
Compound: SrTaPd2Pt
Source: Alexandria
Functional: PBE-GGA
Structure: optimized geometry

Computed properties:
Symmetry   P4/mmm (123)
ΔH_f (0 K)   503 kJ/mol of formula units
Calculated total energy   -4.950 eV per atom

abc: 4.7698 5.8792 4.7698
angles: 90.00 90.00 90.00
Last column: nearest neighbours and their distance in Å.
Fractional coordinates of all 5 atoms:
Ta 0.0000 0.0000 0.0000  4 Pd 2.38
Pd 0.5000 0.0000 0.0000  2 Ta 2.38
Pd 0.0000 0.0000 0.5000  2 Ta 2.38
Pt 0.5000 0.5000 0.5000  4 Sr 3.37
Sr 0.0000 0.5000 0.0000  2 Ta 2.94



Record 4
Compound: KLiFe2
Source: Alexandria
Functional: PBE-GGA
Structure: optimized geometry

Computed properties:
Energy above the lowest structure with this stoichiometry   0.519 eV per atom
Symmetry   I4_1/amd (141)
ΔH_f (0 K)   410 kJ/mol of formula units
Calculated total energy   -3.922 eV per atom

abc: 4.5905 4.5905 10.3272
angles: 77.16 77.16 90.00
Last column: nearest neighbours and their distance in Å.
Fractional coordinates of all 8 atoms:
K 0.7500 0.2500 0.5000  4 Li 3.25, 8 Fe 3.55
K 0.0000 0.0000 0.0000  4 Li 3.25, 8 Fe 3.55
Fe 0.3753 0.6250 0.2500  2 Fe 2.30
Fe 0.8750 0.6247 0.7500  2 Fe 2.30
Fe 0.3750 0.6253 0.7500  2 Fe 2.30
Fe 0.3747 0.1250 0.2500  2 Fe 2.30
Li 0.2500 0.7500 0.5000  4 Fe 2.71
Li 0.5000 0.5000 0.0000  4 Fe 2.71



Record 5
Compound: BiN3Cl
Source: Alexandria
Functional: PBE-GGA
Structure: optimized geometry

Computed properties:
Symmetry   Pm-3m (221)
Formation energy from raw total energies   2248.5 meV per atom
Calculated total energy   -3.892 eV per atom

abc: 3.9082 3.9082 3.9082
angles: 90.00 90.00 90.00
Last column: nearest neighbours and their distance in Å.
Fractional coordinates of all 5 atoms:
N 0.0000 0.0000 0.5000  2 Cl 1.95
N 0.5000 0.0000 0.0000  2 Cl 1.95
N 0.0000 0.5000 0.0000  2 Cl 1.95
Bi 0.5000 0.5000 0.5000  12 N 2.76
Cl 0.0000 0.0000 0.0000  6 N 1.95



Record 6
Compound: LuInNiPd
Source: Alexandria
Functional: PBE-GGA
Structure: optimized geometry

Computed properties:
Symmetry   F-43m (216)
ΔH_f (0 K)   -236 kJ/mol of formula units
Calculated total energy   -5.171 eV per atom

abc: 4.6579 4.6579 4.6579
angles: 60.00 60.00 60.00
Last column: nearest neighbours and their distance in Å.
Fractional coordinates of all 4 atoms:
Ni 0.2500 0.2500 0.2500  4 Lu 2.85, 4 In 2.85
Lu 0.0000 0.0000 0.0000  4 Pd 2.85, 4 Ni 2.85
Pd 0.7500 0.7500 0.7500  4 Lu 2.85, 4 In 2.85
In 0.5000 0.5000 0.5000  4 Ni 2.85, 4 Pd 2.85